An optimized crystal structure of BeHgSb2. Source: the Alexandria database, functional GGA-PBE.

abc: 4.0188 4.1517 5.6605
angles: 90.00 90.00 90.00
Closest atoms and distances in Å follow each position.
Sites, in units of the cell vectors:
Be 0.0000 0.0000 0.0000  4 Sb 2.89
Hg 0.5000 0.0000 0.5000  4 Sb 2.89
Sb 0.0000 0.5000 0.5000  4 Hg 2.89
Sb 0.5000 0.5000 0.0000  4 Be 2.89

Computed properties:
D(E_F) in states/eV/f.u.: 1.295
ΔE_f (raw) in eV per atom: 0.558
Polymorph energy (0 for the lowest one) in meV per atom: 371
Magnetization in μB per cell: 0.00
Total energy in eV/cell: -10.0

=====

An optimized crystal structure of TcAsN2O. Source: the Alexandria database, functional GGA-PBE.

abc: 3.8440 3.8440 3.6313
angles: 90.00 90.00 90.00
Closest atoms and distances in Å follow each position.
Sites, in units of the cell vectors:
Tc 0.0000 0.0000 0.0000  8 N 2.64, 4 O 2.72
As 0.5000 0.5000 0.5000  2 O 1.82, 4 N 1.92
N 0.0000 0.5000 0.5000  2 As 1.92
N 0.5000 0.0000 0.5000  2 As 1.92
O 0.5000 0.5000 0.0000  2 As 1.82

Computed properties:
D(E_F) in states/eV/f.u.: 1.125
ΔE_f (raw) in eV per atom: 1.020
Magnetization in μB per cell: 3.64
Total energy in eV/cell: -31.5

=====

An optimized crystal structure of Pr2ZrPb. Source: the Alexandria database, functional GGA-PBE.

abc: 4.8636 4.8636 4.8496
angles: 90.00 90.00 90.00
Closest atoms and distances in Å follow each position.
Sites, in units of the cell vectors:
Pr 0.0000 0.5000 0.0000  4 Zr 3.43, 4 Pb 3.43, 4 Pr 3.44
Pr 0.5000 0.0000 0.0000  4 Zr 3.43, 4 Pb 3.43, 4 Pr 3.44
Zr 0.0000 0.0000 0.5000  8 Pr 3.43, 4 Pb 3.44
Pb 0.5000 0.5000 0.5000  8 Pr 3.43, 4 Zr 3.44

Computed properties:
D(E_F) in states/eV/f.u.: 3.709
Energy of formation in eV per atom: -0.1622
Polymorph energy (0 for the lowest one) in meV per atom: 0
Magnetization in μB per cell: 0.00
Total energy in eV/cell: -22.5

=====

An optimized crystal structure of Rb2PtAuS. Source: the Alexandria database, functional GGA-PBE.

abc: 6.4442 6.4442 5.0184
angles: 90.00 90.00 90.00
Closest atoms and distances in Å follow each position.
Sites, in units of the cell vectors:
Rb 0.0000 0.5000 0.0000  2 Au 3.22
Rb 0.5000 0.0000 0.0000  2 Au 3.22
Pt 0.0000 0.0000 0.5000  2 Au 2.51
Au 0.0000 0.0000 0.0000  2 Pt 2.51
S 0.5000 0.5000 0.5000  8 Rb 4.08, 4 Pt 4.56

Computed properties:
D(E_F) in states/eV/f.u.: 7.953
ΔE_f (raw) in eV per atom: 0.253
Magnetization in μB per cell: 1.53
Total energy in eV/cell: -14.1

=====

An optimized crystal structure of IrRu. Source: the Alexandria database, functional GGA-PBE.

abc: 2.7180 2.7180 3.8474
angles: 90.00 90.00 90.00
Closest atoms and distances in Å follow each position.
Sites, in units of the cell vectors:
Ir 0.0000 0.0000 0.0000  4 Ir 2.72, 8 Ru 2.72
Ru 0.5000 0.5000 0.5000  4 Ru 2.72, 8 Ir 2.72

Computed properties:
D(E_F) in states/eV/f.u.: 2.617
Energy of formation in eV per atom: -0.0081
Polymorph energy (0 for the lowest one) in meV per atom: 47
Magnetization in μB per cell: 0.00
Total energy in eV/cell: -18.2

=====

An optimized crystal structure of Tb3PrRu8. Source: the Alexandria database, functional GGA-PBE.

abc: 9.3492 9.3492 9.3492
angles: 33.30 33.30 33.30
Closest atoms and distances in Å follow each position.
Sites, in units of the cell vectors:
Tb 0.0000 0.0000 0.0000  12 Ru 3.13-3.14, 4 Tb 3.29
Tb 0.1244 0.1244 0.1244  12 Ru 3.14-3.21, 3 Pr 3.28, 1 Tb 3.29
Tb 0.6246 0.6246 0.6246  12 Ru 3.12-3.14, 3 Tb 3.29, 1 Pr 3.31
Pr 0.4994 0.4994 0.4994  12 Ru 3.14-3.19, 4 Tb 3.28-3.31
Ru 0.0572 0.5627 0.5627  6 Ru 2.65-2.71
Ru 0.0626 0.0626 0.5658  6 Ru 2.66-2.72
Ru 0.0626 0.5658 0.0626  6 Ru 2.66-2.72
Ru 0.3125 0.3125 0.3125  6 Ru 2.67-2.68
Ru 0.5627 0.0572 0.5627  6 Ru 2.65-2.71
Ru 0.5627 0.5627 0.0572  6 Ru 2.65-2.71
Ru 0.5658 0.0626 0.0626  6 Ru 2.66-2.72
Ru 0.8121 0.8121 0.8121  6 Ru 2.71-2.72

Computed properties:
D(E_F) in states/eV/f.u.: 15.507
Energy of formation in eV per atom: -0.2304
Magnetization in μB per cell: 0.00
Total energy in eV/cell: -95.6

=====

An optimized crystal structure of SmYLuZr. Source: the Alexandria database, functional GGA-PBE.

abc: 7.7632 7.7632 7.7632
angles: 90.00 90.00 90.00
Closest atoms and distances in Å follow each position.
Sites, in units of the cell vectors:
Sm 0.0000 0.0000 0.0000  4 Lu 3.36, 4 Y 3.36
Sm 0.0000 0.5000 0.5000  4 Y 3.36, 4 Lu 3.36
Sm 0.5000 0.0000 0.5000  4 Y 3.36, 4 Lu 3.36
Sm 0.5000 0.5000 0.0000  4 Y 3.36, 4 Lu 3.36
Y 0.2500 0.2500 0.7500  4 Zr 3.36, 4 Sm 3.36
Y 0.2500 0.7500 0.2500  4 Zr 3.36, 4 Sm 3.36
Y 0.7500 0.2500 0.2500  4 Zr 3.36, 4 Sm 3.36
Y 0.7500 0.7500 0.7500  4 Sm 3.36, 4 Zr 3.36
Lu 0.2500 0.2500 0.2500  4 Zr 3.36, 4 Sm 3.36
Lu 0.2500 0.7500 0.7500  4 Zr 3.36, 4 Sm 3.36
Lu 0.7500 0.2500 0.7500  4 Zr 3.36, 4 Sm 3.36
Lu 0.7500 0.7500 0.2500  4 Zr 3.36, 4 Sm 3.36
Zr 0.0000 0.0000 0.5000  4 Y 3.36, 4 Lu 3.36
Zr 0.0000 0.5000 0.0000  4 Y 3.36, 4 Lu 3.36
Zr 0.5000 0.0000 0.0000  4 Y 3.36, 4 Lu 3.36
Zr 0.5000 0.5000 0.5000  4 Y 3.36, 4 Lu 3.36

Computed properties:
D(E_F) in states/eV/f.u.: 7.698
Energy of formation in eV per atom: 0.2133
Magnetization in μB per cell: 6.59
Total energy in eV/cell: -93.6

=====

An optimized crystal structure of Pm2ScSi3Ir4. Source: the Alexandria database, functional GGA-PBE.

abc: 4.1173 4.1173 10.6863
angles: 90.00 90.00 90.00
Closest atoms and distances in Å follow each position.
Sites, in units of the cell vectors:
Pm 0.0000 0.5000 0.2383  8 Ir 3.14-3.27, 6 Si 3.17-3.47, 2 Sc 3.47
Pm 0.5000 0.0000 0.7617  8 Ir 3.14-3.27, 6 Si 3.17-3.47, 2 Sc 3.47
Sc 0.0000 0.0000 0.5000  4 Ir 2.62, 4 Si 2.91
Si 0.0000 0.5000 0.8783  5 Ir 2.43-2.44
Si 0.5000 0.0000 0.1217  5 Ir 2.43-2.44
Si 0.5000 0.5000 0.5000  4 Ir 2.62, 4 Sc 2.91
Ir 0.0000 0.0000 0.0000  4 Si 2.44
Ir 0.0000 0.5000 0.6513  3 Si 2.43-2.62, 2 Sc 2.62
Ir 0.5000 0.0000 0.3487  3 Si 2.43-2.62, 2 Sc 2.62
Ir 0.5000 0.5000 0.0000  4 Si 2.44

Computed properties:
D(E_F) in states/eV/f.u.: 4.830
ΔE_f (raw) in eV per atom: -1.018
Magnetization in μB per cell: 0.00
Total energy in eV/cell: -77.7

=====

Question: What is the total energy in the fourth record?
Answer: -14.1 eV/cell

=====

Question: Number 6 is which compound?
Answer: Tb3PrRu8

=====

Question: Which of these has the highest total energy?
Answer: BeHgSb2

=====

Question: What is the magnetization in the sixth record?
Answer: 0.00 μB per cell